No. 1
Cs4Pa3Te8Pd | Alexandria | PBE | relaxed; calculated total energy = -4.7236 eV per atom; calculated density = 6.23 Mg/m³; symmetry = No. 12; formation energy without anion corrections = -834 meV/atom
1.0
8.9729 0.0000 0.0000
0.0000 10.3145 0.9093
-4.4865 -4.5093 6.3759
Cs Pa Te Pd
4 3 8 1
Direct
0.5000 0.0000 0.0000 Cs
0.5000 0.0000 0.5000 Cs
0.0000 0.0000 0.0000 Cs
0.0000 0.0000 0.5000 Cs
0.5000 0.5000 0.0000 Pa
0.5000 0.5000 0.5000 Pa
0.0000 0.5000 0.5000 Pa
0.2250 0.6835 0.9579 Te
0.2273 0.6852 0.4547 Te
0.2681 0.3037 0.5362 Te
0.7329 0.6835 0.9579 Te
0.2671 0.3165 0.0421 Te
0.7319 0.6963 0.4638 Te
0.7727 0.3148 0.5453 Te
0.7750 0.3165 0.0421 Te
0.0000 0.5000 0.0000 Pd

---

No. 2
NaSn4Bi | Alexandria | PBE | relaxed; excess energy over the best structure of this formula in the dataset = 0.0 meV per atom; calculated total energy = -3.5636 eV per atom; calculated density = 6.11 Mg/m³; symmetry = No. 1
1.0
4.4972 0.0834 2.0121
1.5109 6.1323 2.7967
-0.5105 -0.0688 6.7472
Na Sn Bi
1 4 1
Direct
0.0080 0.4160 0.5849 Na
0.7032 0.0834 0.4560 Sn
0.3296 0.8352 0.4509 Sn
0.2389 0.5507 0.9150 Sn
0.6179 0.5422 0.1679 Sn
0.6135 0.0888 0.9175 Bi

---

No. 3
AcPu2Tl | Alexandria | PBE | relaxed; excess energy over the best structure of this formula in the dataset = 151.7 meV per atom; calculated total energy = -8.5737 eV per atom; calculated density = 12.72 Mg/m³; symmetry = No. 225
1.0
5.5363 0.0000 0.0000
2.7681 4.7945 0.0000
2.7681 1.5982 4.5203
Ac Tl Pu
1 1 2
Direct
0.0000 0.0000 0.0000 Ac
0.5000 0.5000 0.5000 Tl
0.2500 0.2500 0.2500 Pu
0.7500 0.7500 0.7500 Pu

---

No. 4
Mn2BeI6 | Alexandria | PBE | relaxed; calculated total energy = -3.9396 eV per atom; calculated density = 3.76 Mg/m³; symmetry = No. 15; formation energy without anion corrections = -454 meV/atom
1.0
6.9811 0.0360 2.3503
3.5554 10.2684 0.0806
-0.0225 -0.0687 10.8665
Mn Be I
4 2 12
Direct
0.0791 0.6502 0.8162 Mn
0.4209 0.1838 0.3498 Mn
0.9209 0.3498 0.1838 Mn
0.5791 0.8162 0.6502 Mn
0.2500 0.2245 0.7755 Be
0.7500 0.7755 0.2245 Be
0.2375 0.7898 0.6282 I
0.2625 0.3718 0.2102 I
0.7625 0.2102 0.3718 I
0.7375 0.6282 0.7898 I
0.8611 0.7883 0.4102 I
0.6389 0.5898 0.2117 I
0.1389 0.2117 0.5898 I
0.3611 0.4102 0.7883 I
0.0461 0.7752 0.0423 I
0.4539 0.9577 0.2248 I
0.9539 0.2248 0.9577 I
0.5461 0.0423 0.7752 I

---

No. 5
NaSrIO2 | Alexandria | PBE | relaxed; excess energy over the best structure of this formula in the dataset = 0.0 meV per atom; calculated total energy = -3.8819 eV per atom; calculated density = 2.93 Mg/m³; symmetry = No. 123; formation energy without anion corrections = -988 meV/atom
1.0
4.6935 0.0000 0.0000
0.0000 4.6935 0.0000
0.0000 0.0000 6.9331
I Sr O Na
1 1 2 1
Direct
0.0000 0.0000 0.5000 I
0.0000 0.0000 0.0000 Sr
0.0000 0.5000 0.0000 O
0.5000 0.0000 0.0000 O
0.5000 0.5000 0.5000 Na

---

No. 6
RbHg2Ge2 | Alexandria | PBE | relaxed; excess energy over the best structure of this formula in the dataset = 200.0 meV per atom; calculated total energy = -1.9881 eV per atom; calculated density = 8.01 Mg/m³; symmetry = No. 127
1.0
-3.3924 -8.1044 -1.7557
5.0598 -0.5202 -7.3756
2.3937 -1.3788 1.7394
Ge Hg Rb
4 4 2
Direct
0.1444 0.6444 0.5000 Ge
0.6444 0.8556 0.5000 Ge
0.8556 0.3556 0.5000 Ge
0.3556 0.1444 0.5000 Ge
0.3579 0.8579 0.0000 Hg
0.8579 0.6421 0.0000 Hg
0.6421 0.1421 0.0000 Hg
0.1421 0.3579 0.0000 Hg
0.0000 0.0000 0.0000 Rb
0.5000 0.5000 0.0000 Rb

---

No. 7
BeIn2Mo | Alexandria | PBE | relaxed; calculated total energy = -4.5175 eV per atom; calculated density = 7.90 Mg/m³; symmetry = No. 47
1.0
3.1857 0.0000 0.0000
0.0000 3.8323 0.0000
0.0000 0.0000 5.7632
Be Mo In
1 1 2
Direct
0.5000 0.5000 0.7500 Be
0.5000 0.5000 0.2500 Mo
0.0000 0.0000 0.9928 In
0.0000 0.0000 0.5072 In

---

No. 8
MoIrOsRh | Alexandria | PBE | relaxed; calculated total energy = -9.7279 eV per atom; calculated density = 16.54 Mg/m³; symmetry = No. 47
1.0
3.9267 0.0000 0.0000
0.0000 3.8559 0.0000
0.0000 0.0000 3.8552
Mo Ir Os Rh
1 1 1 1
Direct
0.5000 0.0000 0.5000 Mo
0.0000 0.0000 0.0000 Ir
0.5000 0.5000 0.0000 Os
0.0000 0.5000 0.5000 Rh

---

no.,calculated volume (Å³ per cell)
1,626.89
2,192.06
3,119.99
4,777.58
5,152.73
6,262.03
7,70.36
8,58.37